Below is a relaxed structure of Ac2YNiS5, with properties calculated at the PBE level.

## Properties
Space-group type: Cmc2_1
Formation energy without anion corrections: -1.8089 eV/atom
Total magnetization: 1.882 Bohr magnetons per cell

abc: 8.7044 8.7044 12.3312
angles: 90.00 90.00 153.28
With the nearest neighbours (Å) after each atom.
Element x y z (fractional)
Ac (0.1195, 0.8805, 0.5000)  8 S 3.02-3.28
Ac (0.1200, 0.8800, 0.8527)  7 S 2.99-3.14
Ac (0.8800, 0.1200, 0.3527)  7 S 2.99-3.14
Ac (0.8805, 0.1195, 0.0000)  8 S 3.02-3.28
Y (0.1786, 0.8214, 0.1795)  6 S 2.69-2.80
Y (0.8214, 0.1786, 0.6795)  6 S 2.69-2.80
Ni (0.4463, 0.5537, 0.5822)  4 S 2.27-2.37
Ni (0.5537, 0.4463, 0.0822)  4 S 2.27-2.37
S (0.0205, 0.9795, 0.1616)  2 Ni 2.31
S (0.3043, 0.6957, 0.8353)  2 Y 2.80, 1 Ac 3.13
S (0.3126, 0.6874, 0.5247)  1 Ni 2.37
S (0.3412, 0.6588, 0.1759)  1 Y 2.75, 4 Ac 3.03-3.04
S (0.4978, 0.5022, 0.9145)  1 Ni 2.27
S (0.5022, 0.4978, 0.4145)  1 Ni 2.27
S (0.6588, 0.3412, 0.6759)  1 Y 2.75, 4 Ac 3.03-3.04
S (0.6874, 0.3126, 0.0247)  1 Ni 2.37
S (0.6957, 0.3043, 0.3353)  2 Y 2.80, 1 Ac 3.13
S (0.9795, 0.0205, 0.6616)  2 Ni 2.31

Below is a relaxed structure of Ta2TcRu, with properties calculated at the PBE level.

## Properties
E_form: -0.616 eV/f.u.
Space-group type: Immm
Total magnetization: 0.000 Bohr magnetons per cell

abc: 5.1666 5.1666 5.1666
angles: 144.01 125.84 66.76
With the nearest neighbours (Å) after each atom.
Element x y z (fractional)
Ta (0.2488, 0.2488, 0.0000)  2 Tc 2.67, 2 Ru 2.69, 4 Ta 2.84
Ta (0.7512, 0.7512, 0.0000)  2 Tc 2.67, 2 Ru 2.69, 4 Ta 2.84
Tc (0.0000, 0.5000, 0.5000)  4 Ta 2.67, 4 Ru 2.84
Ru (0.5000, 0.0000, 0.5000)  4 Ta 2.69, 4 Tc 2.84

Below is a relaxed structure of KAgBrF2, with properties calculated at the PBE level.

## Properties
Space-group type: P4/mmm
Formation energy without anion corrections: -1.4519 eV/atom
Excess energy over the best structure of this formula in the dataset: 0.00 eV/f.u.
Total magnetization: 0.000 Bohr magnetons per cell

abc: 4.5210 4.5210 5.2703
angles: 90.00 90.00 90.00
With the nearest neighbours (Å) after each atom.
Element x y z (fractional)
K (0.0000, 0.0000, 0.0000)  4 Br 3.20, 8 F 3.47
Ag (0.5000, 0.5000, 0.5000)  4 F 2.26
Br (0.5000, 0.5000, 0.0000)  2 Ag 2.64
F (0.0000, 0.5000, 0.5000)  2 Ag 2.26
F (0.5000, 0.0000, 0.5000)  2 Ag 2.26

Below is a relaxed structure of In2TcAs, with properties calculated at the PBE level.

## Properties
E_form: 1.870 eV/f.u.
Space-group type: I4/mmm
Total magnetization: 1.586 Bohr magnetons per cell

abc: 5.3138 5.3138 5.3138
angles: 133.50 133.50 67.87
With the nearest neighbours (Å) after each atom.
Element x y z (fractional)
In (0.2500, 0.7500, 0.5000)  4 In 2.97, 4 As 3.04, 4 Tc 3.04
In (0.7500, 0.2500, 0.5000)  4 In 2.97, 4 As 3.04, 4 Tc 3.04
Tc (0.0000, 0.0000, 0.0000)  4 As 2.97, 8 In 3.04
As (0.5000, 0.5000, 0.0000)  4 Tc 2.97, 8 In 3.04